RbLaF3: optimized geometry, PBE.

Properties
- SG = No. 221
- final energy (eV per cell) = -22.07
- V (Å³/atom) = 23.3
- E_form (uncorrected) (meV/atom) = -2112

Lattice parameters (Å, degrees): 4.8848 4.8848 4.8848 90.00 90.00 90.00
With the nearest neighbours (Å) after each atom.
Fractional coordinates of all 5 atoms:
F1 0.0000 0.5000 0.0000  2 Rb 2.44
F2 0.0000 0.0000 0.5000  2 Rb 2.44
F3 0.5000 0.0000 0.0000  2 Rb 2.44
Rb1 0.0000 0.0000 0.0000  6 F 2.44
La1 0.5000 0.5000 0.5000  12 F 3.45